(1)
LaTbGd: optimized geometry, PBE.

```
LaTbGd
1.0
3.661 0.000 0.000
0.000 3.661 0.000
0.000 0.000 15.193
La Tb Gd
2 2 2
direct
0.000 0.000 0.000
0.500 0.500 0.500
0.000 0.000 0.333
0.500 0.500 0.833
0.000 0.000 0.671
0.500 0.500 0.171
```

Properties
E_form: 0.022 eV/atom
Space group: I4mm, No. 107

(2)
MnAlBr2: optimized geometry, PBE.

```
MnAlBr2
1.0
3.409 0.000 0.000
0.000 7.869 0.000
0.000 0.000 9.597
Mn Al Br
2 2 4
direct
0.000 0.000 0.000
0.500 0.500 0.500
0.000 0.500 0.284
0.500 0.000 0.784
0.000 0.000 0.582
0.000 0.500 0.694
0.500 0.000 0.194
0.500 0.500 0.082
```

Properties
E_form (uncorrected): -0.0779 eV per atom
Polymorph energy (0 for the lowest one): 26.5 kJ/mol of atoms
Space group: Imm2, No. 44

(3)
NaTl2Pd7: optimized geometry, PBE.

```
NaTl2Pd7
1.0
3.618 -7.139 0.000
3.618 7.139 0.000
0.000 0.000 4.282
Na Tl Pd
1 2 7
direct
0.000 0.000 0.000
0.299 0.701 0.500
0.701 0.299 0.500
0.083 0.284 0.500
0.183 0.817 0.000
0.284 0.083 0.500
0.500 0.500 0.500
0.716 0.917 0.500
0.817 0.183 0.000
0.917 0.716 0.500
```

Properties
E_form: 0.240 eV/atom
Space group: Cmmm, No. 65

(4)
La6PrDy5: optimized geometry, PBE.

```
La6PrDy5
1.0
-2.618 5.050 7.855
2.618 -5.050 7.855
2.618 5.050 -7.855
La Pr Dy
6 1 5
direct
0.082 0.333 0.749
0.247 0.000 0.247
0.416 0.667 0.749
0.584 0.333 0.251
0.753 0.000 0.753
0.918 0.667 0.251
0.500 0.500 0.000
0.000 0.500 0.500
0.167 0.167 0.000
0.333 0.833 0.500
0.667 0.167 0.500
0.833 0.833 0.000
```

Properties
E_form: 0.021 eV/atom
Space group: Immm, No. 71

(5)
NiSnSe3: optimized geometry, PBE.

```
NiSnSe3
1.0
5.261 0.000 0.000
0.000 5.261 0.000
0.000 0.000 5.261
Ni Sn Se
1 1 3
direct
0.000 0.000 0.000
0.500 0.500 0.500
0.000 0.500 0.500
0.500 0.000 0.500
0.500 0.500 0.000
```

Properties
E_form (uncorrected): 0.8771 eV per atom
Polymorph energy (0 for the lowest one): 79.0 kJ/mol of atoms
Space group: Pm-3m, No. 221

(6)
CuSe2N: optimized geometry, PBE.

```
CuSe2N
1.0
3.896 0.000 0.000
-1.948 3.374 0.000
0.000 0.000 17.976
Cu Se N
3 6 3
direct
0.000 0.000 0.000
0.333 0.667 0.667
0.667 0.333 0.333
0.000 0.000 0.403
0.000 0.000 0.597
0.333 0.667 0.070
0.333 0.667 0.264
0.667 0.333 0.736
0.667 0.333 0.930
0.000 0.000 0.500
0.333 0.667 0.167
0.667 0.333 0.833
```

Properties
E_form (uncorrected): 0.5924 eV per atom
Space group: R-3m, No. 166

(7)
Pa2Sn2HN: optimized geometry, PBE.

```
Pa2Sn2HN
1.0
-2.750 7.777 2.777
2.750 -7.777 2.777
2.750 7.777 -2.777
Pa Sn H N
4 4 2 2
direct
0.079 0.238 0.317
0.421 0.738 0.159
0.579 0.262 0.841
0.921 0.762 0.683
0.199 0.744 0.943
0.301 0.244 0.545
0.699 0.756 0.455
0.801 0.256 0.057
0.250 0.750 0.500
0.750 0.250 0.500
0.250 0.250 0.000
0.750 0.750 0.000
```

Properties
Space group: Ibam, No. 72
VASP energy: -7.08 eV per atom

(8)
TiVInRh: optimized geometry, PBE.

```
TiVInRh
1.0
6.384 0.000 0.000
0.000 6.384 0.000
0.000 0.000 6.384
Ti V In Rh
4 4 4 4
direct
0.000 0.000 0.000
0.000 0.500 0.500
0.500 0.000 0.500
0.500 0.500 0.000
0.250 0.250 0.750
0.250 0.750 0.250
0.750 0.250 0.250
0.750 0.750 0.750
0.000 0.000 0.500
0.000 0.500 0.000
0.500 0.000 0.000
0.500 0.500 0.500
0.250 0.250 0.250
0.250 0.750 0.750
0.750 0.250 0.750
0.750 0.750 0.250
```

Properties
E_form: -0.328 eV/atom
Space group: F-43m, No. 216

(9)
SrMg2Tc: optimized geometry, PBE.

```
SrMg2Tc
1.0
6.340 0.000 0.000
0.000 9.009 0.000
0.000 0.000 3.088
Sr Mg Tc
2 4 2
direct
0.000 0.000 0.000
0.500 0.500 0.000
0.250 0.250 0.500
0.250 0.750 0.500
0.750 0.250 0.500
0.750 0.750 0.500
0.000 0.500 0.000
0.500 0.000 0.000
```

Properties
E_form: 0.626 eV/atom
Polymorph energy (0 for the lowest one): 25.5 kJ/mol of atoms
Space group: Cmmm, No. 65

(10)
CaYI2: optimized geometry, PBE.

```
CaYI2
1.0
7.742 0.000 0.000
0.000 7.742 0.000
0.000 0.000 7.742
Ca Y I
4 4 8
direct
0.000 0.000 0.000
0.000 0.500 0.500
0.500 0.000 0.500
0.500 0.500 0.000
0.000 0.000 0.500
0.000 0.500 0.000
0.500 0.000 0.000
0.500 0.500 0.500
0.250 0.250 0.250
0.250 0.250 0.750
0.250 0.750 0.250
0.250 0.750 0.750
0.750 0.250 0.250
0.750 0.250 0.750
0.750 0.750 0.250
0.750 0.750 0.750
```

Properties
E_form (uncorrected): -0.6717 eV per atom
Polymorph energy (0 for the lowest one): 13.4 kJ/mol of atoms
Space group: Fm-3m, No. 225

(11)
Li3B8C8: optimized geometry, PBE.

```
Li3B8C8
1.0
6.775 0.000 0.000
0.000 2.725 0.000
-0.700 0.000 9.043
Li B C
3 8 8
direct
0.000 0.000 0.000
0.002 0.500 0.721
0.998 0.500 0.279
0.250 0.000 0.852
0.251 0.500 0.110
0.342 0.500 0.614
0.357 0.000 0.354
0.643 0.000 0.646
0.658 0.500 0.386
0.749 0.500 0.890
0.750 0.000 0.148
0.236 0.500 0.937
0.253 0.000 0.198
0.288 0.000 0.684
0.412 0.500 0.438
0.588 0.500 0.562
0.712 0.000 0.316
0.747 0.000 0.802
0.764 0.500 0.063
```

Properties
E_form: 0.044 eV/atom
Polymorph energy (0 for the lowest one): 3.6 kJ/mol of atoms
Space group: P2/m, No. 10

(12)
BaHg2Os: optimized geometry, PBE.

```
BaHg2Os
1.0
4.705 0.000 0.000
0.000 4.705 0.000
0.000 0.000 9.059
Ba Hg Os
2 4 2
direct
0.000 0.000 0.000
0.500 0.500 0.500
0.000 0.000 0.500
0.000 0.500 0.750
0.500 0.000 0.250
0.500 0.500 0.000
0.000 0.500 0.250
0.500 0.000 0.750
```

Properties
E_form: 0.752 eV/atom
Polymorph energy (0 for the lowest one): 35.9 kJ/mol of atoms
Space group: I-4m2, No. 119

| no. | N(E_F) (states/eV/cell) |
| --- | --- |
| 1 | 9.64 |
| 2 | 6.26 |
| 3 | 6.55 |
| 4 | 18.36 |
| 5 | 10.44 |
| 6 | 3.89 |
| 7 | 17.76 |
| 8 | 1.31 |
| 9 | 8.29 |
| 10 | 9.58 |
| 11 | 3.07 |
| 12 | 8.55 |